This record from Alexandria describes Li2LaPm2Tl2 after structural relaxation. The functional is PBE.

The structure in POSCAR format:
```
Li2LaPm2Tl2
1.0
2.480 1.432 9.167
-2.480 1.432 9.167
0.000 -2.863 9.167
Li La Pm Tl
2 1 2 2
Direct
0.097 0.097 0.097
0.903 0.903 0.903
0.500 0.500 0.500
0.372 0.372 0.372
0.628 0.628 0.628
0.240 0.240 0.240
0.760 0.760 0.760
```

ΔH_f (0 K) ... -1.5 eV per formula unit
Total moment ... 0.00 Bohr magnetons per cell
SG ... R-3m
Final energy ... -24.50 eV/cell

This record from Alexandria describes LiLaPmTm after structural relaxation. The functional is PBE.

The structure in POSCAR format:
```
LiLaPmTm
1.0
7.912 0.000 0.000
0.000 7.912 0.000
0.000 0.000 7.912
Li La Pm Tm
4 4 4 4
Direct
0.000 0.000 0.000
0.000 0.500 0.500
0.500 0.000 0.500
0.500 0.500 0.000
0.250 0.250 0.250
0.250 0.750 0.750
0.750 0.250 0.750
0.750 0.750 0.250
0.250 0.250 0.750
0.250 0.750 0.250
0.750 0.250 0.250
0.750 0.750 0.750
0.000 0.000 0.500
0.000 0.500 0.000
0.500 0.000 0.000
0.500 0.500 0.500
```

ΔH_f (0 K) ... 0.6 eV per formula unit
Total moment ... 0.00 Bohr magnetons per cell
SG ... F-43m
Final energy ... -61.99 eV/cell

Among the records above, which one has the highest ΔH_f (0 K)? LiLaPmTm

The lowest final energy belongs to which entry? LiLaPmTm

What is the formula in the first record? Li2LaPm2Tl2

Copy entry 1 word for word.
This record from Alexandria describes Li2LaPm2Tl2 after structural relaxation. The functional is PBE.

The structure in POSCAR format:
```
Li2LaPm2Tl2
1.0
2.480 1.432 9.167
-2.480 1.432 9.167
0.000 -2.863 9.167
Li La Pm Tl
2 1 2 2
Direct
0.097 0.097 0.097
0.903 0.903 0.903
0.500 0.500 0.500
0.372 0.372 0.372
0.628 0.628 0.628
0.240 0.240 0.240
0.760 0.760 0.760
```

ΔH_f (0 K) ... -1.5 eV per formula unit
Total moment ... 0.00 Bohr magnetons per cell
SG ... R-3m
Final energy ... -24.50 eV/cell